Density functional theory data (PBE) for a geometry-optimized NaBeAs2Se structure.

E_form (uncorrected): 2.5 kcal/mol of atoms

Structure (CIF):
```
data_NaBeAs2Se
_chemical_formula_sum 'Na1 Be1 As2 Se1'
_symmetry_space_group_name_H-M 'P 4/m m m'
_symmetry_Int_Tables_number 123
_symmetry_space_group_name_Hall '-P 4 2'
_cell_length_a 4.475
_cell_length_b 4.475
_cell_length_c 5.165
_cell_angle_alpha 90.00
_cell_angle_beta 90.00
_cell_angle_gamma 90.00
loop_
_atom_site_label
_atom_site_type_symbol
_atom_site_fract_x
_atom_site_fract_y
_atom_site_fract_z
Na1 Na 0.000 0.000 0.000
Be1 Be 0.500 0.500 0.500
As1 As 0.000 0.500 0.500
Se1 Se 0.500 0.500 0.000
```

---

Density functional theory data (PBE) for a geometry-optimized NaTiBe2As structure.

calculated formation energy: 634.2 meV per atom

Structure (CIF):
```
data_NaTiBe2As
_chemical_formula_sum 'Na1 Ti1 Be2 As1'
_symmetry_space_group_name_H-M 'P 4/m m m'
_symmetry_Int_Tables_number 123
_symmetry_space_group_name_Hall '-P 4 2'
_cell_length_a 4.742
_cell_length_b 4.742
_cell_length_c 4.815
_cell_angle_alpha 90.00
_cell_angle_beta 90.00
_cell_angle_gamma 90.00
loop_
_atom_site_label
_atom_site_type_symbol
_atom_site_fract_x
_atom_site_fract_y
_atom_site_fract_z
Na1 Na 0.000 0.000 0.000
Ti1 Ti 0.500 0.500 0.500
Be1 Be 0.000 0.500 0.500
As1 As 0.500 0.500 0.000
```

---

| no. | energy (eV per atom) | density of states at the Fermi level (states/eV per cell) | calculated volume (Å³ per atom) |
| --- | --- | --- | --- |
| 1 | -3.458 | 3.08 | 20.68 |
| 2 | -3.629 | 3.46 | 21.65 |